The following is a DFT calculation (PBE) of crystalline PrTm2Ir2 at its relaxed geometry.

The structure belongs to space group P2_1/m (No. 11); the cell edges are 5.4196, 4.4721 and 10.4685 Å and the angles 90.00°, 96.01° and 90.00°. The distinct sites, in fractional coordinates, are Pr at (0.0800, 0.2500, 0.2806), Tm at (0.2681, 0.7500, 0.0252), Tm at (0.3722, 0.2500, 0.6096), Ir at (0.1581, 0.7500, 0.4696) and Ir at (0.2061, 0.2500, 0.8656).

Its uncorrected energy is -7.00 eV per atom.